1.
Tb11Sm9Er4 after structural relaxation. Source: Alexandria, functional PBE.

magnetic moment = 0.00 μB per atom

abc: 3.676 15.268 15.268
angles: 113.36 90.00 90.00
Fractional coordinates of all 24 atoms:
Tb1 0.000 0.000 0.000
Tb2 0.000 0.632 0.368
Tb3 0.000 0.595 0.956
Tb4 0.000 0.161 0.839
Tb5 0.000 0.709 0.709
Tb6 0.000 0.291 0.291
Tb7 0.000 0.044 0.405
Tb8 0.000 0.839 0.161
Tb9 0.000 0.368 0.632
Tb10 0.000 0.956 0.595
Tb11 0.000 0.405 0.044
Sm1 0.500 0.370 0.836
Sm2 0.500 0.500 0.500
Sm3 0.500 0.164 0.630
Sm4 0.500 0.630 0.164
Sm5 0.500 0.786 0.934
Sm6 0.500 0.934 0.786
Sm7 0.500 0.836 0.370
Sm8 0.500 0.066 0.214
Sm9 0.500 0.214 0.066
Er1 0.500 0.444 0.243
Er2 0.500 0.757 0.556
Er3 0.500 0.556 0.757
Er4 0.500 0.243 0.444

---

2.
TbSm5Er12 after structural relaxation. Source: Alexandria, functional PBE.

magnetic moment = 0.00 μB per atom

abc: 11.225 10.282 5.908
angles: 90.01 90.02 56.92
Fractional coordinates of all 18 atoms:
Er1 0.991 0.667 0.050
Er2 0.658 0.333 0.050
Er3 0.491 0.667 0.450
Er4 0.824 0.000 0.447
Er5 0.679 0.000 0.947
Er6 0.157 0.333 0.450
Er7 0.321 0.000 0.053
Er8 0.009 0.333 0.950
Er9 0.843 0.667 0.550
Er10 0.176 0.000 0.553
Er11 0.509 0.333 0.550
Er12 0.342 0.667 0.950
Sm1 0.334 0.331 0.000
Sm2 0.166 0.669 0.500
Sm3 0.666 0.669 0.000
Sm4 0.500 0.000 0.500
Sm5 0.834 0.331 0.500
Tb1 0.000 0.000 0.000

---

3.
Tb3Sm8Er3 after structural relaxation. Source: Alexandria, functional PBE.

magnetic moment = 0.00 μB per atom

abc: 5.653 9.699 9.699
angles: 101.79 73.07 73.07
Fractional coordinates of all 14 atoms:
Sm1 0.658 0.565 0.118
Sm2 0.342 0.882 0.435
Sm3 0.342 0.435 0.882
Sm4 0.161 0.442 0.235
Sm5 0.658 0.118 0.565
Sm6 0.161 0.235 0.442
Sm7 0.839 0.558 0.765
Sm8 0.839 0.765 0.558
Er1 0.200 0.800 0.800
Er2 0.800 0.200 0.200
Er3 0.500 0.500 0.500
Tb1 0.000 0.820 0.180
Tb2 0.500 0.000 0.000
Tb3 0.000 0.180 0.820

---

4.
Tb3Sm5Er3 after structural relaxation. Source: Alexandria, functional PBE.

magnetic moment = 0.00 μB per atom

abc: 3.440 11.206 11.206
angles: 120.00 90.00 90.00
Fractional coordinates of all 11 atoms:
Tb1 0.000 0.000 0.596
Tb2 0.000 0.404 0.404
Tb3 0.000 0.596 0.000
Sm1 0.500 0.667 0.333
Sm2 0.500 0.339 0.000
Sm3 0.500 0.000 0.339
Sm4 0.500 0.661 0.661
Sm5 0.500 0.333 0.667
Er1 0.500 0.159 0.159
Er2 0.500 0.000 0.841
Er3 0.500 0.841 0.000

---

5.
TbSm4Er6 after structural relaxation. Source: Alexandria, functional PBE.

magnetic moment = 0.00 μB per atom

abc: 9.668 9.668 9.668
angles: 57.72 140.09 140.09
Fractional coordinates of all 11 atoms:
Er1 0.357 0.552 0.552
Er2 0.000 0.806 0.448
Er3 0.500 0.000 0.500
Er4 0.643 0.194 0.194
Er5 0.000 0.448 0.806
Er6 0.500 0.500 0.000
Tb1 0.000 0.000 0.000
Sm1 0.378 0.363 0.363
Sm2 0.000 0.637 0.014
Sm3 0.622 0.986 0.986
Sm4 0.000 0.014 0.637

---

6.
Tb6SmEr4 after structural relaxation. Source: Alexandria, functional PBE.

magnetic moment = 0.00 μB per atom

abc: 5.707 5.584 25.583
angles: 90.00 90.00 120.73
Fractional coordinates of all 22 atoms:
Tb1 0.195 0.390 0.602
Tb2 0.805 0.610 0.102
Tb3 0.136 0.273 0.181
Tb4 0.136 0.273 0.319
Tb5 0.500 0.000 0.500
Tb6 0.529 0.058 0.750
Tb7 0.864 0.727 0.819
Tb8 0.195 0.390 0.898
Tb9 0.471 0.942 0.250
Tb10 0.805 0.610 0.398
Tb11 0.500 0.000 0.000
Tb12 0.864 0.727 0.681
Sm1 0.194 0.388 0.750
Sm2 0.806 0.612 0.250
Er1 0.845 0.691 0.957
Er2 0.535 0.070 0.622
Er3 0.465 0.930 0.122
Er4 0.845 0.691 0.543
Er5 0.465 0.930 0.378
Er6 0.155 0.309 0.457
Er7 0.535 0.070 0.878
Er8 0.155 0.309 0.043

---

7.
TbSm6Er2 after structural relaxation. Source: Alexandria, functional PBE.

magnetic moment = 0.03 μB per atom

abc: 6.063 7.582 7.582
angles: 60.01 90.01 90.01
Fractional coordinates of all 9 atoms:
Tb1 0.000 0.000 0.000
Sm1 0.713 0.188 0.622
Sm2 0.286 0.812 0.812
Sm3 0.287 0.378 0.812
Sm4 0.287 0.812 0.378
Sm5 0.713 0.622 0.188
Sm6 0.714 0.188 0.188
Er1 0.782 0.666 0.666
Er2 0.218 0.334 0.334

---

8.
Tb12SmEr6 after structural relaxation. Source: Alexandria, functional PBE.

magnetic moment = 0.00 μB per atom

abc: 9.302 9.302 9.302
angles: 107.93 107.93 107.93
Fractional coordinates of all 19 atoms:
Tb1 0.111 0.500 0.889
Tb2 0.889 0.111 0.500
Tb3 0.849 0.632 0.632
Tb4 0.632 0.632 0.849
Tb5 0.889 0.500 0.111
Tb6 0.111 0.889 0.500
Tb7 0.368 0.368 0.151
Tb8 0.632 0.849 0.632
Tb9 0.368 0.151 0.368
Tb10 0.151 0.368 0.368
Tb11 0.500 0.111 0.889
Tb12 0.500 0.889 0.111
Er1 0.738 0.315 0.315
Er2 0.262 0.685 0.685
Er3 0.315 0.315 0.738
Er4 0.685 0.262 0.685
Er5 0.315 0.738 0.315
Er6 0.685 0.685 0.262
Sm1 0.000 0.000 0.000

---

9.
Tb2SmEr after structural relaxation. Source: Alexandria, functional PBE.

magnetic moment = 0.00 μB per atom

abc: 5.670 7.282 6.290
angles: 90.00 90.00 90.00
Fractional coordinates of all 8 atoms:
Tb1 0.750 0.999 0.834
Tb2 0.250 0.001 0.166
Tb3 0.750 0.501 0.834
Tb4 0.250 0.499 0.166
Er1 0.250 0.750 0.668
Er2 0.750 0.250 0.332
Sm1 0.750 0.750 0.334
Sm2 0.250 0.250 0.666

---

10.
TbSm3Er7 after structural relaxation. Source: Alexandria, functional PBE.

magnetic moment = 0.00 μB per atom

abc: 8.826 9.996 5.489
angles: 89.99 128.43 106.10
Fractional coordinates of all 11 atoms:
Er1 0.358 0.711 0.858
Er2 0.181 0.361 0.681
Er3 0.091 0.170 0.090
Er4 0.909 0.830 0.910
Er5 0.642 0.289 0.142
Er6 0.500 0.000 0.500
Er7 0.819 0.639 0.319
Tb1 0.500 0.500 0.500
Sm1 0.216 0.998 0.717
Sm2 0.784 0.002 0.283
Sm3 0.000 0.500 0.000

---

11.
Tb16Sm7Er6 after structural relaxation. Source: Alexandria, functional PBE.

magnetic moment = 0.00 μB per atom

abc: 11.166 11.166 11.166
angles: 60.00 60.00 60.00
Fractional coordinates of all 29 atoms:
Er1 0.266 0.734 0.734
Er2 0.734 0.266 0.266
Er3 0.266 0.266 0.734
Er4 0.734 0.734 0.266
Er5 0.266 0.734 0.266
Er6 0.734 0.266 0.734
Tb1 0.952 0.349 0.349
Tb2 0.349 0.349 0.952
Tb3 0.651 0.651 0.651
Tb4 0.349 0.349 0.349
Tb5 0.126 0.126 0.623
Tb6 0.048 0.651 0.651
Tb7 0.874 0.874 0.377
Tb8 0.651 0.651 0.048
Tb9 0.623 0.126 0.126
Tb10 0.126 0.126 0.126
Tb11 0.349 0.952 0.349
Tb12 0.377 0.874 0.874
Tb13 0.874 0.377 0.874
Tb14 0.651 0.048 0.651
Tb15 0.126 0.623 0.126
Tb16 0.874 0.874 0.874
Sm1 0.000 0.000 0.500
Sm2 0.500 0.000 0.500
Sm3 0.000 0.500 0.000
Sm4 0.500 0.000 0.000
Sm5 0.000 0.000 0.000
Sm6 0.000 0.500 0.500
Sm7 0.500 0.500 0.000

---

12.
Tb2Sm3Er4 after structural relaxation. Source: Alexandria, functional PBE.

magnetic moment = 0.00 μB per atom

abc: 6.060 11.235 11.235
angles: 61.92 63.04 63.04
Fractional coordinates of all 18 atoms:
Tb1 0.927 0.508 0.281
Tb2 0.427 0.281 0.508
Tb3 0.073 0.492 0.719
Tb4 0.573 0.719 0.492
Sm1 0.253 0.316 0.015
Sm2 0.747 0.684 0.985
Sm3 0.250 0.649 0.351
Sm4 0.247 0.985 0.684
Sm5 0.753 0.015 0.316
Sm6 0.750 0.351 0.649
Er1 0.579 0.049 0.827
Er2 0.414 0.619 0.842
Er3 0.586 0.381 0.158
Er4 0.914 0.842 0.619
Er5 0.921 0.173 0.951
Er6 0.086 0.158 0.381
Er7 0.079 0.827 0.049
Er8 0.421 0.951 0.173

---

Calculated total DFT energy (no corrections) in order - -0.3381; -0.3308; -0.3351; -0.3176; -0.3176; -0.3299; -0.3273; -0.3068; -0.3397; -0.3277; -0.3223; -0.3329 Ry/atom
Calculated calculated formation energy in order - 0.052; 0.109; 0.108; 0.331; 0.304; 0.125; 0.222; 0.440; 0.013; 0.153; 0.253; 0.101 eV/atom